*i*
ScCdSb | PBE-GGA | optimized geometry

Cell and atoms, written as CIF:
```
data_ScCdSb
_space_group_name_H-M_alt 'C 1 2/m 1'
_space_group_IT_number 12
_space_group_name_Hall '-C 2y'
_cell_length_a 10.3653
_cell_length_b 3.9844
_cell_length_c 7.4629
_cell_angle_alpha 90.00
_cell_angle_beta 106.82
_cell_angle_gamma 90.00
loop_
_atom_site_label
_atom_site_fract_x
_atom_site_fract_y
_atom_site_fract_z
_atom_site_occupancy
Sc1 0.1540 0.0000 0.1308 1
Cd1 0.1578 0.0000 0.5622 1
Sb1 0.0537 0.5000 0.8116 1
```

Results
* crystal system: monoclinic

*ii*
ScCdSb | PBE-GGA | optimized geometry

Cell and atoms, written as CIF:
```
data_ScCdSb
_space_group_name_H-M_alt 'F -4 3 m'
_space_group_IT_number 216
_space_group_name_Hall 'F -4 2 3'
_cell_length_a 6.8885
_cell_length_b 6.8885
_cell_length_c 6.8885
_cell_angle_alpha 90.00
_cell_angle_beta 90.00
_cell_angle_gamma 90.00
loop_
_atom_site_label
_atom_site_fract_x
_atom_site_fract_y
_atom_site_fract_z
_atom_site_occupancy
Sc1 0.0000 0.0000 0.0000 1
Cd1 0.2500 0.2500 0.7500 1
Sb1 0.2500 0.2500 0.2500 1
```

Results
* crystal system: cubic

Order from most stable to least stable according to the calculation: *i*, *ii*

*i*
ScCdSb | PBE-GGA | optimized geometry

Cell and atoms, written as CIF:
```
data_ScCdSb
_space_group_name_H-M_alt 'P 3 m 1'
_space_group_IT_number 156
_space_group_name_Hall 'P 3 -2"'
_cell_length_a 4.5124
_cell_length_b 4.5124
_cell_length_c 4.2212
_cell_angle_alpha 90.00
_cell_angle_beta 90.00
_cell_angle_gamma 120.00
loop_
_atom_site_label
_atom_site_fract_x
_atom_site_fract_y
_atom_site_fract_z
_atom_site_occupancy
Sc1 0.0000 0.0000 0.0000 1
Cd1 0.6667 0.3333 0.3226 1
Sb1 0.3333 0.6667 0.6310 1
```

Results
* crystal system: trigonal

*ii*
ScCdSb | PBE-GGA | optimized geometry

Cell and atoms, written as CIF:
```
data_ScCdSb
_space_group_name_H-M_alt 'F -4 3 m'
_space_group_IT_number 216
_space_group_name_Hall 'F -4 2 3'
_cell_length_a 6.8992
_cell_length_b 6.8992
_cell_length_c 6.8992
_cell_angle_alpha 90.00
_cell_angle_beta 90.00
_cell_angle_gamma 90.00
loop_
_atom_site_label
_atom_site_fract_x
_atom_site_fract_y
_atom_site_fract_z
_atom_site_occupancy
Sc1 0.0000 0.0000 0.0000 1
Cd1 0.0000 0.0000 0.5000 1
Sb1 0.2500 0.2500 0.7500 1
```

Results
* crystal system: cubic

Order from most stable to least stable according to the calculation: *i*, *ii*

*i*
Sc2CdSb2 | PBE-GGA | optimized geometry

Cell and atoms, written as CIF:
```
data_Sc2CdSb2
_space_group_name_H-M_alt 'P 4/m b m'
_space_group_IT_number 127
_space_group_name_Hall '-P 4 2ab'
_cell_length_a 7.9618
_cell_length_b 7.9618
_cell_length_c 3.8549
_cell_angle_alpha 90.00
_cell_angle_beta 90.00
_cell_angle_gamma 90.00
loop_
_atom_site_label
_atom_site_fract_x
_atom_site_fract_y
_atom_site_fract_z
_atom_site_occupancy
Sc1 0.1435 0.3565 0.0000 1
Cd1 0.0000 0.0000 0.0000 1
Sb1 0.1595 0.6595 0.5000 1
```

Results
* crystal system: tetragonal

*ii*
Sc2CdSb2 | PBE-GGA | optimized geometry

Cell and atoms, written as CIF:
```
data_Sc2CdSb2
_space_group_name_H-M_alt 'I 4/m m m'
_space_group_IT_number 139
_space_group_name_Hall '-I 4 2'
_cell_length_a 5.0739
_cell_length_b 5.0739
_cell_length_c 11.3220
_cell_angle_alpha 90.00
_cell_angle_beta 90.00
_cell_angle_gamma 90.00
loop_
_atom_site_label
_atom_site_fract_x
_atom_site_fract_y
_atom_site_fract_z
_atom_site_occupancy
Sc1 0.0000 0.5000 0.2500 1
Cd1 0.0000 0.0000 0.0000 1
Sb1 0.0000 0.0000 0.3692 1
```

Results
* crystal system: tetragonal

Order from most stable to least stable according to the calculation: *i*, *ii*

*i*
CdSbSe | PBE-GGA | optimized geometry

Cell and atoms, written as CIF:
```
data_CdSbSe
_space_group_name_H-M_alt 'I 4 m m'
_space_group_IT_number 107
_space_group_name_Hall 'I 4 -2'
_cell_length_a 3.8295
_cell_length_b 3.8295
_cell_length_c 10.7541
_cell_angle_alpha 90.00
_cell_angle_beta 90.00
_cell_angle_gamma 90.00
loop_
_atom_site_label
_atom_site_fract_x
_atom_site_fract_y
_atom_site_fract_z
_atom_site_occupancy
Cd1 0.0000 0.0000 0.0000 1
Sb1 0.0000 0.0000 0.6551 1
Se1 0.0000 0.0000 0.3979 1
```

Results
* crystal system: tetragonal

*ii*
CdSbSe | PBE-GGA | optimized geometry

Cell and atoms, written as CIF:
```
data_CdSbSe
_space_group_name_H-M_alt 'P -1'
_space_group_IT_number 2
_space_group_name_Hall '-P 1'
_cell_length_a 4.0957
_cell_length_b 6.7530
_cell_length_c 6.8975
_cell_angle_alpha 61.12
_cell_angle_beta 73.36
_cell_angle_gamma 72.83
loop_
_atom_site_label
_atom_site_fract_x
_atom_site_fract_y
_atom_site_fract_z
_atom_site_occupancy
Cd1 0.1481 0.0151 0.1798 1
Sb1 0.3329 0.5099 0.3253 1
Se1 0.0000 0.5000 0.0000 1
Se2 0.5000 0.0000 0.5000 1
```

Results
* crystal system: triclinic

*iii*
CdSbSe | PBE-GGA | optimized geometry

Cell and atoms, written as CIF:
```
data_CdSbSe
_space_group_name_H-M_alt 'P -1'
_space_group_IT_number 2
_space_group_name_Hall '-P 1'
_cell_length_a 4.3675
_cell_length_b 6.7042
_cell_length_c 7.2484
_cell_angle_alpha 87.05
_cell_angle_beta 79.41
_cell_angle_gamma 83.89
loop_
_atom_site_label
_atom_site_fract_x
_atom_site_fract_y
_atom_site_fract_z
_atom_site_occupancy
Cd1 0.2029 0.2170 0.3871 1
Sb1 0.2081 0.5448 0.1288 1
Se1 0.3606 0.8107 0.3731 1
```

Results
* crystal system: triclinic

Order from most stable to least stable according to the calculation: *iii*, *ii*, *i*